(1)
Density functional theory data (PBE) for a relaxed Y2ScSb crystal.

Computed properties:
* raw total energy: -6.08 eV per atom
* spin magnetization: 0.0 Bohr magnetons per cell
* D(E_F): 1.366 states/eV/atom
* volume: 412.19 Å³/cell

Lattice parameters (Å, degrees): 7.4422 7.4422 7.4422 90.00 90.00 90.00
Closest atoms and distances in Å follow each position.
Space group F-43m (No. 216)
Symmetry-distinct sites (fractional):
Y (0.0000, 0.0000, 0.0000)  4 Sc 3.22, 4 Y 3.22
Y (0.2500, 0.2500, 0.2500)  4 Sb 3.22, 4 Y 3.22
Sc (0.2500, 0.2500, 0.7500)  4 Sb 3.22, 4 Y 3.22
Sb (0.0000, 0.0000, 0.5000)  4 Y 3.22, 4 Sc 3.22


(2)
Density functional theory data (PBE) for a relaxed OsI crystal.

Computed properties:
* E above lowest polymorph: 0.0 meV/atom
* spin magnetization: 0.0 Bohr magnetons per cell
* D(E_F): 0.311 states/eV/atom
* volume: 558.55 Å³/cell

Lattice parameters (Å, degrees): 12.2636 12.2636 3.7138 90.00 90.00 90.00
Closest atoms and distances in Å follow each position.
Space group P4/m (No. 83)
Symmetry-distinct sites (fractional):
Os (0.0202, 0.6035, 0.0000)  5 Os 2.46-2.74
Os (0.0961, 0.4578, 0.5000)  5 Os 2.46-2.74
I (0.0951, 0.7542, 0.5000)  2 Os 2.78
I (0.2628, 0.4361, 0.0000)  2 Os 2.77


(3)
Density functional theory data (PBE) for a relaxed BaSr2 crystal.

Computed properties:
* E above lowest polymorph: 0.7 meV/atom
* spin magnetization: 0.0 Bohr magnetons per cell
* ΔE_f: 0.00 eV/atom
* D(E_F): 1.202 states/eV/atom
* volume: 679.04 Å³/cell

Lattice parameters (Å, degrees): 4.9073 20.4429 6.7687 90.00 90.00 90.00
Closest atoms and distances in Å follow each position.
Space group Cmcm (No. 63)
Symmetry-distinct sites (fractional):
Ba (0.0000, 0.0838, 0.2500)  8 Sr 4.18-4.23
Sr (0.0000, 0.2479, 0.7500)  6 Sr 4.14-4.18, 2 Ba 4.23
Sr (0.0000, 0.4153, 0.2500)  2 Sr 4.14, 6 Ba 4.18-4.23


(4)
Density functional theory data (PBE) for a relaxed Tm3SbPbS crystal.

Computed properties:
* raw total energy: -5.17 eV per atom
* spin magnetization: 0.0 Bohr magnetons per cell
* D(E_F): 0.246 states/eV/atom
* volume: 381.95 Å³/cell

Lattice parameters (Å, degrees): 9.0911 4.1275 10.1823 90.00 91.45 90.00
Closest atoms and distances in Å follow each position.
Space group P2_1/m (No. 11)
Symmetry-distinct sites (fractional):
Tm (0.1156, 0.2500, 0.3823)  3 Sb 3.01-3.02, 2 Pb 3.16
Tm (0.3568, 0.7500, 0.6475)  1 S 2.81, 2 Sb 3.02
Tm (0.3635, 0.2500, 0.0856)  3 S 2.61-2.64
Sb (0.1172, 0.2500, 0.6791)  5 Tm 3.01-3.02
Pb (0.3695, 0.7500, 0.3263)  7 Tm 3.16-3.28
S (0.3496, 0.7500, 0.9237)  4 Tm 2.61-2.81


(5)
Density functional theory data (PBE) for a relaxed LiY3V crystal.

Computed properties:
* E above lowest polymorph: 0.0 meV/atom
* spin magnetization: 1.2 Bohr magnetons per cell
* ΔE_f: 0.49 eV/atom
* D(E_F): 0.953 states/eV/atom
* volume: 155.93 Å³/cell

Lattice parameters (Å, degrees): 5.3825 5.3825 5.3825 90.00 90.00 90.00
Closest atoms and distances in Å follow each position.
Space group Pm-3m (No. 221)
Symmetry-distinct sites (fractional):
Li (0.0000, 0.0000, 0.0000)  12 Y 3.81
Y (0.0000, 0.5000, 0.5000)  2 V 2.69
V (0.5000, 0.5000, 0.5000)  6 Y 2.69


(6)
Density functional theory data (PBE) for a relaxed LiTcP2Au crystal.

Computed properties:
* spin magnetization: 2.9 Bohr magnetons per cell
* ΔE_f: 0.94 eV/atom
* D(E_F): 0.586 states/eV/atom
* volume: 81.77 Å³/cell

Lattice parameters (Å, degrees): 4.3337 4.3337 4.3539 90.00 90.00 90.00
Closest atoms and distances in Å follow each position.
Space group P4/mmm (No. 123)
Symmetry-distinct sites (fractional):
Li (0.0000, 0.0000, 0.0000)  4 P 2.17, 2 Au 2.18
Tc (0.5000, 0.5000, 0.5000)  4 Au 3.06, 8 P 3.07
P (0.0000, 0.5000, 0.0000)  2 Li 2.17
Au (0.0000, 0.0000, 0.5000)  2 Li 2.18


(7)
Density functional theory data (PBE) for a relaxed Ac3IrPdCl crystal.

Computed properties:
* raw total energy: -5.61 eV per atom
* spin magnetization: 0.8 Bohr magnetons per cell
* D(E_F): 0.498 states/eV/atom
* volume: 394.26 Å³/cell

Lattice parameters (Å, degrees): 8.5461 4.4771 10.3879 90.00 97.28 90.00
Closest atoms and distances in Å follow each position.
Space group P2_1/m (No. 11)
Symmetry-distinct sites (fractional):
Ac (0.0949, 0.2500, 0.3512)  3 Ir 3.03-3.13, 2 Pd 3.16
Ac (0.2049, 0.2500, 0.9350)  1 Ir 2.89, 2 Cl 3.00
Ac (0.3777, 0.7500, 0.6220)  1 Cl 2.95, 2 Ir 3.05, 3 Pd 3.11-3.24
Ir (0.1441, 0.2500, 0.6548)  6 Ac 2.89-3.13
Pd (0.3481, 0.7500, 0.3210)  5 Ac 3.11-3.24
Cl (0.4329, 0.7500, 0.9077)  3 Ac 2.95-3.00, 2 Cl 3.07


(8)
Density functional theory data (PBE) for a relaxed Hf6InGa5 crystal.

Computed properties:
* spin magnetization: 0.0 Bohr magnetons per cell
* ΔE_f: -0.35 eV/atom
* D(E_F): 0.671 states/eV/atom
* volume: 456.00 Å³/cell

Lattice parameters (Å, degrees): 4.2934 8.2514 12.8716 90.00 90.00 90.00
Closest atoms and distances in Å follow each position.
Space group Immm (No. 71)
Symmetry-distinct sites (fractional):
Hf (0.0000, 0.2295, 0.0000)  6 Ga 2.86-3.05, 4 Hf 3.05, 2 In 3.10
Hf (0.0000, 0.2625, 0.3316)  7 Ga 2.91-3.05, 4 Hf 3.01-3.05, 1 In 3.06
In (0.0000, 0.0000, 0.5000)  4 Ga 2.99, 8 Hf 3.06-3.10
Ga (0.0000, 0.0000, 0.1751)  8 Hf 2.91-2.96, 4 Ga 3.00-3.11
Ga (0.0000, 0.5000, 0.1618)  8 Hf 2.94-3.05, 2 In 2.99, 2 Ga 3.00
Ga (0.0000, 0.5000, 0.5000)  8 Hf 2.86-2.92, 4 Ga 3.11


- Look up the spin magnetization of the seventh one.
  0.8 Bohr magnetons per cell


Repeat the second record exactly.
Density functional theory data (PBE) for a relaxed OsI crystal.

Computed properties:
* E above lowest polymorph: 0.0 meV/atom
* spin magnetization: 0.0 Bohr magnetons per cell
* D(E_F): 0.311 states/eV/atom
* volume: 558.55 Å³/cell

Lattice parameters (Å, degrees): 12.2636 12.2636 3.7138 90.00 90.00 90.00
Closest atoms and distances in Å follow each position.
Space group P4/m (No. 83)
Symmetry-distinct sites (fractional):
Os (0.0202, 0.6035, 0.0000)  5 Os 2.46-2.74
Os (0.0961, 0.4578, 0.5000)  5 Os 2.46-2.74
I (0.0951, 0.7542, 0.5000)  2 Os 2.78
I (0.2628, 0.4361, 0.0000)  2 Os 2.77


- spin magnetization of number 1 (Y2ScSb)?
  0.0 Bohr magnetons per cell